Run i
This record from Alexandria via LeMat-Bulk describes a relaxed NaAs2Ir2 crystal. The functional is PBE.

Computed properties:
theoretical density = 9.65 Mg/m³

Unit cell a=5.751 b=5.751 c=5.751 alpha=134.29 beta=134.29 gamma=66.63
Element x y z (fractional)
Na: 0.000 0.000 0.000
As: 0.250 0.750 0.500
As: 0.750 0.250 0.500
Ir: 0.362 0.362 0.000
Ir: 0.638 0.638 0.000


Run ii
This record from Alexandria via LeMat-Bulk describes a relaxed NaAs2Ir2 crystal. The functional is PBE.

Computed properties:
theoretical density = 10.95 Mg/m³

Unit cell a=7.590 b=7.590 c=2.934 alpha=90.00 beta=90.00 gamma=90.00
Element x y z (fractional)
Na: 0.000 0.000 0.000
Na: 0.500 0.500 0.000
As: 0.159 0.341 0.500
As: 0.341 0.841 0.500
As: 0.659 0.159 0.500
As: 0.841 0.659 0.500
Ir: 0.134 0.634 0.000
Ir: 0.366 0.134 0.000
Ir: 0.634 0.866 0.000
Ir: 0.866 0.366 0.000


Run iii
This record from Alexandria via LeMat-Bulk describes a relaxed NaAs2Ir2 crystal. The functional is PBE.

Computed properties:
theoretical density = 9.22 Mg/m³

Unit cell a=6.751 b=6.751 c=6.751 alpha=145.07 beta=145.07 gamma=50.22
Element x y z (fractional)
Na: 0.000 0.000 0.000
As: 0.366 0.366 0.000
As: 0.634 0.634 0.000
Ir: 0.250 0.750 0.500
Ir: 0.750 0.250 0.500


Stability comparison, relative energies in kJ/mol of atoms: run i 25.2; run ii 34.6; run iii 0.0


Run i
This record from Alexandria via LeMat-Bulk describes a relaxed NbAsIrSe2 crystal. The functional is PBE.

Computed properties:
theoretical density = 7.11 Mg/m³

Unit cell a=4.910 b=4.910 c=5.020 alpha=90.00 beta=90.00 gamma=90.00
Element x y z (fractional)
Nb: 0.000 0.000 0.000
As: 0.000 0.000 0.500
Ir: 0.500 0.500 0.500
Se: 0.000 0.500 0.000
Se: 0.500 0.000 0.000


Run ii
This record from Alexandria via LeMat-Bulk describes a relaxed NbAsIrSe2 crystal. The functional is PBE.

Computed properties:
theoretical density = 7.72 Mg/m³

Unit cell a=4.881 b=4.881 c=4.673 alpha=90.00 beta=90.00 gamma=90.00
Element x y z (fractional)
Nb: 0.000 0.000 0.000
As: 0.500 0.500 0.000
Ir: 0.500 0.500 0.500
Se: 0.000 0.500 0.500
Se: 0.500 0.000 0.500


Stability comparison, relative energies in kJ/mol of atoms: run i 11.9; run ii 0.0